No. 1
Here is a relaxed structure of Pr5DyTe6 from Alexandria. Energies are from PBE.

Calculated values
For the total moment, the calculation gives 0.000 μB/atom. The value obtained for the calculated volume is 387.1 Å³/cell. As for the final energy: -64.3 eV/cell. Its crystal system is monoclinic. As for the space-group type: C2/m. As for the uncorrected formation energy: -1416 meV/atom.

Lattice parameters (Å, degrees): 7.7820 7.8022 7.8076 60.02 80.41 70.52
Fractional coordinates of all 12 atoms:
Te 0.2428 0.5967 0.3224
Te 0.7502 0.7606 0.0000
Te 0.2498 0.2394 0.0000
Pr 0.5000 0.8246 0.3508
Te 0.7572 0.0809 0.3224
Pr 0.5000 0.1754 0.6492
Pr 0.5000 0.5000 0.0000
Pr 0.0000 0.6674 0.6651
Te 0.7572 0.4033 0.6776
Dy 0.0000 0.0000 0.0000
Te 0.2428 0.9191 0.6776
Pr 0.0000 0.3326 0.3349

=====

No. 2
Here is a relaxed structure of Tb6HRh2 from Alexandria. Energies are from PBE.

Calculated values
For the total moment, the calculation gives 0.000 μB/atom. The value obtained for the calculated volume is 432.5 Å³/cell. As for the final energy: -101.4 eV/cell. Its crystal system is monoclinic. As for the space-group type: P2_1/c.

Lattice parameters (Å, degrees): 6.3215 7.1405 9.5843 90.00 91.07 90.00
Fractional coordinates of all 18 atoms:
Rh 0.9373 0.3804 0.2583
H 0.5000 0.5000 0.0000
Tb 0.1708 0.3241 0.5638
Rh 0.4373 0.1196 0.7583
Tb 0.6412 0.4654 0.7510
Tb 0.8317 0.6740 0.0646
Tb 0.3588 0.5346 0.2490
Tb 0.8588 0.9654 0.7490
Rh 0.0627 0.6196 0.7417
Tb 0.6683 0.1740 0.4354
Tb 0.6708 0.1759 0.0638
Tb 0.1683 0.3260 0.9354
H 0.0000 0.0000 0.5000
Tb 0.1412 0.0346 0.2510
Tb 0.8292 0.6759 0.4362
Tb 0.3292 0.8241 0.9362
Rh 0.5627 0.8804 0.2417
Tb 0.3317 0.8260 0.5646

=====

Question: Among the records above, which one has the highest final energy?
Answer: Pr5DyTe6

=====

Question: What is the formula in the second record?
Answer: Tb6HRh2

=====

Repeat the first record exactly.
Here is a relaxed structure of Pr5DyTe6 from Alexandria. Energies are from PBE.

Calculated values
For the total moment, the calculation gives 0.000 μB/atom. The value obtained for the calculated volume is 387.1 Å³/cell. As for the final energy: -64.3 eV/cell. Its crystal system is monoclinic. As for the space-group type: C2/m. As for the uncorrected formation energy: -1416 meV/atom.

Lattice parameters (Å, degrees): 7.7820 7.8022 7.8076 60.02 80.41 70.52
Fractional coordinates of all 12 atoms:
Te 0.2428 0.5967 0.3224
Te 0.7502 0.7606 0.0000
Te 0.2498 0.2394 0.0000
Pr 0.5000 0.8246 0.3508
Te 0.7572 0.0809 0.3224
Pr 0.5000 0.1754 0.6492
Pr 0.5000 0.5000 0.0000
Pr 0.0000 0.6674 0.6651
Te 0.7572 0.4033 0.6776
Dy 0.0000 0.0000 0.0000
Te 0.2428 0.9191 0.6776
Pr 0.0000 0.3326 0.3349

=====

Question: What is the total moment in the second record?
Answer: 0.000 μB/atom